Computed, not measured: a geometry-optimized YSi2As structure at the GGA-PBE level of DFT.

Output
The crystal system is trigonal. The magnetic moment is 0.00 Bohr magnetons per cell. Its uncorrected formation energy is -0.184 eV per atom.

Cell lengths 7.274, 7.274, 7.274 Å; angles 29.74, 29.74, 29.74 degrees
Fractional positions:
Y  0.000  0.000  0.000
Si  0.236  0.236  0.236
Si  0.515  0.515  0.515
As  0.763  0.763  0.763